No. 1
The following is a DFT calculation (PBE) of CsLa2Y2 after structural relaxation.

```
CsLa2Y2
1.0
10.540 0.000 0.000
0.000 10.540 0.000
0.000 0.000 3.701
Cs La Y
2 4 4
direct
0.000 0.000 0.000
0.500 0.500 0.000
0.172 0.328 0.500
0.328 0.828 0.500
0.672 0.172 0.500
0.828 0.672 0.500
0.114 0.614 0.000
0.386 0.114 0.000
0.614 0.886 0.000
0.886 0.386 0.000
```

Calculated values
total magnetization: 0.00 μB per formula unit
E: -4.3676 eV per atom
SG: P4/mbm
ΔE_f: 0.360 eV/atom


No. 2
The following is a DFT calculation (PBE) of LaErMg after structural relaxation.

```
LaErMg
1.0
2.668 -6.418 0.000
2.668 6.418 0.000
0.000 0.000 5.349
La Er Mg
2 2 2
direct
0.089 0.911 0.750
0.911 0.089 0.250
0.405 0.595 0.750
0.595 0.405 0.250
0.249 0.751 0.250
0.751 0.249 0.750
```

Calculated values
total magnetization: 0.00 μB per formula unit
E: -3.7383 eV per atom
SG: Cmcm
ΔE_f: -0.043 eV/atom


No. 3
The following is a DFT calculation (PBE) of PuNi2Pt5 after structural relaxation.

```
PuNi2Pt5
1.0
-1.894 3.811 4.567
1.894 -3.811 4.567
1.894 3.811 -4.567
Pu Ni Pt
1 2 5
direct
0.000 0.000 0.000
0.220 0.720 0.500
0.780 0.280 0.500
0.161 0.347 0.814
0.467 0.653 0.814
0.500 0.000 0.500
0.533 0.347 0.186
0.839 0.653 0.186
```

Calculated values
total magnetization: 3.36 μB per formula unit
E: -7.2655 eV per atom
SG: Immm
ΔE_f: -0.253 eV/atom


No. 4
The following is a DFT calculation (PBE) of Ba5Ag after structural relaxation.

```
Ba5Ag
1.0
7.313 0.000 0.000
-3.656 6.333 0.000
0.000 0.000 6.702
Ba Ag
5 1
direct
0.000 0.690 0.000
0.310 0.310 0.000
0.333 0.667 0.500
0.667 0.333 0.500
0.690 0.000 0.000
0.000 0.000 0.500
```

Calculated values
total magnetization: 0.00 μB per formula unit
E: -1.9769 eV per atom
SG: P-62m
ΔE_f: 0.101 eV/atom


No. 5
The following is a DFT calculation (PBE) of La2P4Ir3Ru after structural relaxation.

```
La2P4Ir3Ru
1.0
4.233 0.000 0.000
0.000 4.233 0.000
0.000 0.000 9.578
La P Ir Ru
2 4 3 1
direct
0.000 0.500 0.239
0.500 0.000 0.761
0.000 0.000 0.000
0.000 0.500 0.632
0.500 0.000 0.368
0.500 0.500 0.000
0.000 0.500 0.888
0.500 0.000 0.112
0.500 0.500 0.500
0.000 0.000 0.500
```

Calculated values
total magnetization: 0.00 μB per formula unit
E: -7.7876 eV per atom
SG: P-4m2
ΔE_f: -1.052 eV/atom


No. 6
The following is a DFT calculation (PBE) of NdHoRu after structural relaxation.

```
NdHoRu
1.0
0.000 3.424 3.424
3.424 0.000 3.424
3.424 3.424 0.000
Nd Ho Ru
1 1 1
direct
0.000 0.000 0.000
0.500 0.500 0.500
0.250 0.250 0.250
```

Calculated values
total magnetization: 0.00 μB per formula unit
E: -6.4169 eV per atom
SG: F-43m
ΔE_f: -0.210 eV/atom